(1)
Below is TlRhCl3 after structural relaxation, with properties calculated at the PBE level.

## Properties
- Uncorrected energy: -18.18 eV/cell
- SG: Pm-3m, No. 221
- ΔE_f (raw): -0.5843 eV/atom
- Calculated density: 5.8 g/cm3

Lattice parameters (Å, degrees): 4.9043 4.9043 4.9043 90.00 90.00 90.00
With the nearest neighbours (Å) after each atom.
Fractional coordinates of all 5 atoms:
Tl (0.0000, 0.0000, 0.0000)  12 Cl 3.47
Rh (0.5000, 0.5000, 0.5000)  6 Cl 2.45
Cl (0.0000, 0.5000, 0.5000)  2 Rh 2.45
Cl (0.5000, 0.0000, 0.5000)  2 Rh 2.45
Cl (0.5000, 0.5000, 0.0000)  2 Rh 2.45


(2)
Below is Ca2MgCd5Ag2 after structural relaxation, with properties calculated at the PBE level.

## Properties
- Uncorrected energy: -36.43 eV/cell
- SG: P4/mbm, No. 127
- Formation energy from the elements: -0.23 eV/atom
- Calculated density: 6.2 g/cm3

Lattice parameters (Å, degrees): 10.2202 10.2202 4.5517 90.00 90.00 90.00
With the nearest neighbours (Å) after each atom.
Fractional coordinates of all 20 atoms:
Ca (0.1777, 0.3223, 0.0000)  3 Ag 2.96-3.08
Ca (0.3223, 0.8223, 0.0000)  3 Ag 2.96-3.08
Ca (0.6777, 0.1777, 0.0000)  3 Ag 2.96-3.08
Ca (0.8223, 0.6777, 0.0000)  3 Ag 2.96-3.08
Mg (0.0000, 0.0000, 0.0000)  8 Cd 3.14
Mg (0.5000, 0.5000, 0.0000)  8 Cd 3.14
Cd (0.0000, 0.5000, 0.5000)  4 Ag 2.84, 4 Cd 3.11
Cd (0.0617, 0.7981, 0.5000)  2 Ag 2.98, 3 Cd 3.05-3.11, 2 Mg 3.14
Cd (0.2019, 0.0617, 0.5000)  2 Ag 2.98, 3 Cd 3.05-3.11, 2 Mg 3.14
Cd (0.2981, 0.5617, 0.5000)  2 Ag 2.98, 3 Cd 3.05-3.11, 2 Mg 3.14
Cd (0.4383, 0.2981, 0.5000)  2 Ag 2.98, 3 Cd 3.05-3.11, 2 Mg 3.14
Cd (0.5000, 0.0000, 0.5000)  4 Ag 2.84, 4 Cd 3.11
Cd (0.5617, 0.7019, 0.5000)  2 Ag 2.98, 3 Cd 3.05-3.11, 2 Mg 3.14
Cd (0.7019, 0.4383, 0.5000)  2 Ag 2.98, 3 Cd 3.05-3.11, 2 Mg 3.14
Cd (0.7981, 0.9383, 0.5000)  2 Ag 2.98, 3 Cd 3.05-3.11, 2 Mg 3.14
Cd (0.9383, 0.2019, 0.5000)  2 Ag 2.98, 3 Cd 3.05-3.11, 2 Mg 3.14
Ag (0.1178, 0.6178, 0.0000)  6 Cd 2.84-2.98, 3 Ca 2.96-3.08
Ag (0.3822, 0.1178, 0.0000)  6 Cd 2.84-2.98, 3 Ca 2.96-3.08
Ag (0.6178, 0.8822, 0.0000)  6 Cd 2.84-2.98, 3 Ca 2.96-3.08
Ag (0.8822, 0.3822, 0.0000)  6 Cd 2.84-2.98, 3 Ca 2.96-3.08


(3)
Below is La2ScAl4Pd3 after structural relaxation, with properties calculated at the PBE level.

## Properties
- Uncorrected energy: -53.86 eV/cell
- SG: P-4m2, No. 115
- Formation energy from the elements: -0.71 eV/atom
- Calculated density: 5.9 g/cm3

Lattice parameters (Å, degrees): 4.2884 4.2884 11.4755 90.00 90.00 90.00
With the nearest neighbours (Å) after each atom.
Fractional coordinates of all 10 atoms:
La (0.0000, 0.5000, 0.2349)  8 Al 3.28-3.44, 4 Pd 3.29
La (0.5000, 0.0000, 0.7651)  8 Al 3.28-3.44, 4 Pd 3.29
Sc (0.0000, 0.0000, 0.5000)  4 Al 2.80, 4 Pd 3.03
Al (0.0000, 0.0000, 0.0000)  4 Pd 2.57
Al (0.0000, 0.5000, 0.6564)  3 Pd 2.53-2.80, 2 Sc 2.80
Al (0.5000, 0.0000, 0.3436)  3 Pd 2.53-2.80, 2 Sc 2.80
Al (0.5000, 0.5000, 0.0000)  4 Pd 2.57
Pd (0.0000, 0.5000, 0.8773)  5 Al 2.53-2.57
Pd (0.5000, 0.0000, 0.1227)  5 Al 2.53-2.57
Pd (0.5000, 0.5000, 0.5000)  4 Al 2.80, 4 Sc 3.03


(4)
Below is BaCaPb2 after structural relaxation, with properties calculated at the PBE level.

## Properties
- Uncorrected energy: -24.27 eV/cell
- SG: I-42d, No. 122
- Formation energy from the elements: -0.20 eV/atom
- Calculated density: 5.7 g/cm3

Lattice parameters (Å, degrees): 11.4894 11.4894 11.4894 151.62 151.62 40.57
With the nearest neighbours (Å) after each atom.
Fractional coordinates of all 8 atoms:
Ba (0.0000, 0.0000, 0.0000)  4 Pb 3.57, 4 Ca 3.98
Ba (0.7500, 0.2500, 0.5000)  4 Pb 3.57, 4 Ca 3.98
Ca (0.2500, 0.7500, 0.5000)  4 Pb 3.19
Ca (0.5000, 0.5000, 0.0000)  4 Pb 3.19
Pb (0.2063, 0.6250, 0.0813)  2 Ca 3.19, 2 Pb 3.40, 2 Ba 3.57
Pb (0.3750, 0.4563, 0.5813)  2 Ca 3.19, 2 Pb 3.40, 2 Ba 3.57
Pb (0.5437, 0.1250, 0.9187)  2 Ca 3.19, 2 Pb 3.40, 2 Ba 3.57
Pb (0.8750, 0.7937, 0.4187)  2 Ca 3.19, 2 Pb 3.40, 2 Ba 3.57


(5)
Below is BaTaZn after structural relaxation, with properties calculated at the PBE level.

## Properties
- Uncorrected energy: -13.32 eV/cell
- SG: I4mm, No. 107
- Formation energy from the elements: 0.58 eV/atom
- Calculated density: 8.7 g/cm3

Lattice parameters (Å, degrees): 7.6454 7.6454 7.6454 156.13 156.13 34.02
With the nearest neighbours (Å) after each atom.
Fractional coordinates of all 3 atoms:
Ba (0.0000, 0.0000, 0.0000)  4 Ba 3.16, 4 Zn 3.51
Ta (0.7046, 0.7046, 0.0000)  4 Zn 2.76
Zn (0.3149, 0.3149, 0.0000)  4 Ta 2.76


(6)
Below is Ac2DyTe4 after structural relaxation, with properties calculated at the PBE level.

## Properties
- Uncorrected energy: -35.82 eV/cell
- SG: C2/m, No. 12
- ΔE_f (raw): -1.4910 eV/atom
- Calculated density: 7.2 g/cm3

Lattice parameters (Å, degrees): 7.7261 7.7261 9.3588 120.43 120.43 33.07
With the nearest neighbours (Å) after each atom.
Fractional coordinates of all 7 atoms:
Ac (0.1431, 0.1431, 0.1999)  7 Te 3.32-3.51
Ac (0.8569, 0.8569, 0.8001)  7 Te 3.32-3.51
Dy (0.5000, 0.5000, 0.5000)  6 Te 3.07-3.08
Te (0.1642, 0.1642, 0.5791)  2 Dy 3.07, 3 Ac 3.32-3.39
Te (0.4391, 0.4391, 0.1303)  1 Dy 3.08, 2 Ac 3.45
Te (0.5609, 0.5609, 0.8697)  1 Dy 3.08, 2 Ac 3.45
Te (0.8358, 0.8358, 0.4209)  2 Dy 3.07, 3 Ac 3.32-3.39


(7)
Below is Al3Sb2 after structural relaxation, with properties calculated at the PBE level.

## Properties
- Uncorrected energy: -37.54 eV/cell
- SG: Fdd2, No. 43
- ΔE_f (raw): 0.1404 eV/atom
- Calculated density: 4.9 g/cm3

Lattice parameters (Å, degrees): 7.9669 5.6317 8.5821 64.31 39.57 76.11
With the nearest neighbours (Å) after each atom.
Fractional coordinates of all 10 atoms:
Al (0.0000, 0.0000, 0.0000)  4 Al 2.74-3.02, 2 Sb 2.88
Al (0.2500, 0.2500, 0.2500)  4 Al 2.74-3.02, 2 Sb 2.88
Al (0.2781, 0.4211, 0.5184)  5 Al 2.74-3.02, 2 Sb 2.88-2.91
Al (0.4211, 0.2781, 0.7825)  5 Al 2.74-3.02, 2 Sb 2.88-2.91
Al (0.4675, 0.7316, 0.8289)  5 Al 2.74-3.02, 2 Sb 2.88-2.91
Al (0.7316, 0.4675, 0.9719)  5 Al 2.74-3.02, 2 Sb 2.88-2.91
Sb (0.0418, 0.7589, 0.3808)  7 Al 2.88-3.20
Sb (0.4315, 0.8692, 0.4911)  7 Al 2.88-3.20
Sb (0.7589, 0.0418, 0.8185)  7 Al 2.88-3.20
Sb (0.8692, 0.4315, 0.2082)  7 Al 2.88-3.20


(8)
Below is Ca7Ga2Ag2 after structural relaxation, with properties calculated at the PBE level.

## Properties
- Uncorrected energy: -27.38 eV/cell
- SG: Cmmm, No. 65
- Formation energy from the elements: -0.15 eV/atom
- Calculated density: 3.0 g/cm3

Lattice parameters (Å, degrees): 6.9997 6.9997 7.6714 90.00 90.00 111.24
With the nearest neighbours (Å) after each atom.
Fractional coordinates of all 11 atoms:
Ca (0.0000, 0.0000, 0.0000)  2 Ag 3.45
Ca (0.0000, 0.5000, 0.2800)  2 Ag 2.97
Ca (0.0000, 0.5000, 0.7200)  2 Ag 2.97
Ca (0.5000, 0.0000, 0.2800)  2 Ag 2.97
Ca (0.5000, 0.0000, 0.7200)  2 Ag 2.97
Ca (0.5000, 0.5000, 0.2655)  2 Ag 3.09, 2 Ga 3.22
Ca (0.5000, 0.5000, 0.7345)  2 Ag 3.09, 2 Ga 3.22
Ga (0.1616, 0.1616, 0.5000)  1 Ga 2.55
Ga (0.8384, 0.8384, 0.5000)  1 Ga 2.55
Ag (0.2988, 0.7012, 0.0000)  6 Ca 2.97-3.09
Ag (0.7012, 0.2988, 0.0000)  6 Ca 2.97-3.09


(9)
Below is PmSm6Dy3Sc2 after structural relaxation, with properties calculated at the PBE level.

## Properties
- Uncorrected energy: -59.10 eV/cell
- SG: C2/m, No. 12
- Formation energy from the elements: 0.04 eV/atom
- Calculated density: 7.1 g/cm3

Lattice parameters (Å, degrees): 6.1588 6.1588 11.6851 95.02 95.02 119.97
With the nearest neighbours (Å) after each atom.
Fractional coordinates of all 12 atoms:
Pm (0.0000, 0.0000, 0.0000)  6 Sm 3.51, 6 Sc 3.56
Sm (0.0826, 0.4194, 0.2461)  2 Sc 3.49, 1 Pm 3.51, 6 Sm 3.54-3.59, 3 Dy 3.56-3.58
Sm (0.2543, 0.2543, 0.7540)  2 Sc 3.49, 1 Pm 3.51, 6 Sm 3.54-3.59, 3 Dy 3.56-3.58
Sm (0.4194, 0.0826, 0.2461)  2 Sc 3.49, 1 Pm 3.51, 6 Sm 3.54-3.59, 3 Dy 3.56-3.58
Sm (0.5806, 0.9174, 0.7539)  2 Sc 3.49, 1 Pm 3.51, 6 Sm 3.54-3.59, 3 Dy 3.56-3.58
Sm (0.7457, 0.7457, 0.2460)  2 Sc 3.49, 1 Pm 3.51, 6 Sm 3.54-3.59, 3 Dy 3.56-3.58
Sm (0.9174, 0.5806, 0.7539)  2 Sc 3.49, 1 Pm 3.51, 6 Sm 3.54-3.59, 3 Dy 3.56-3.58
Dy (0.1670, 0.8330, 0.5000)  6 Dy 3.55-3.56, 6 Sm 3.56-3.58
Dy (0.5000, 0.5000, 0.5000)  6 Dy 3.55-3.56, 6 Sm 3.56-3.58
Dy (0.8330, 0.1670, 0.5000)  6 Dy 3.55-3.56, 6 Sm 3.56-3.58
Sc (0.3334, 0.6666, 0.0000)  6 Sm 3.49, 3 Sc 3.55-3.56, 3 Pm 3.56
Sc (0.6666, 0.3334, 0.0000)  6 Sm 3.49, 3 Sc 3.55-3.56, 3 Pm 3.56


(10)
Below is Tb2PmHo3S6 after structural relaxation, with properties calculated at the PBE level.

## Properties
- Uncorrected energy: -76.51 eV/cell
- SG: C2/m, No. 12
- ΔE_f (raw): -1.9997 eV/atom
- Calculated density: 7.5 g/cm3

Lattice parameters (Å, degrees): 6.7936 6.7936 6.8076 99.54 99.54 120.20
With the nearest neighbours (Å) after each atom.
Fractional coordinates of all 12 atoms:
Tb (0.1662, 0.8338, 0.0000)  6 S 2.78-2.79
Tb (0.8338, 0.1662, 0.0000)  6 S 2.78-2.79
Pm (0.5000, 0.5000, 0.0000)  6 S 2.83-2.84
Ho (0.0000, 0.0000, 0.5000)  6 S 2.72-2.76
Ho (0.3360, 0.6640, 0.5000)  6 S 2.74-2.76
Ho (0.6640, 0.3360, 0.5000)  6 S 2.74-2.76
S (0.0749, 0.4140, 0.7420)  3 Ho 2.74-2.76, 2 Tb 2.79, 1 Pm 2.84
S (0.2464, 0.2464, 0.2561)  3 Ho 2.72-2.75, 2 Tb 2.78, 1 Pm 2.83
S (0.4140, 0.0749, 0.7420)  3 Ho 2.74-2.76, 2 Tb 2.79, 1 Pm 2.84
S (0.5860, 0.9251, 0.2580)  3 Ho 2.74-2.76, 2 Tb 2.79, 1 Pm 2.84
S (0.7536, 0.7536, 0.7439)  3 Ho 2.72-2.75, 2 Tb 2.78, 1 Pm 2.83
S (0.9251, 0.5860, 0.2580)  3 Ho 2.74-2.76, 2 Tb 2.79, 1 Pm 2.84


(11)
Below is TmPd4Pt after structural relaxation, with properties calculated at the PBE level.

## Properties
- Uncorrected energy: -35.06 eV/cell
- SG: C2/m, No. 12
- Formation energy from the elements: -0.63 eV/atom
- Calculated density: 13.1 g/cm3

Lattice parameters (Å, degrees): 4.9954 4.9954 4.9029 98.97 98.97 120.77
With the nearest neighbours (Å) after each atom.
Fractional coordinates of all 6 atoms:
Tm (0.0000, 0.0000, 0.0000)  10 Pd 2.85-2.92, 2 Pt 2.88
Pd (0.1731, 0.8269, 0.5000)  7 Pd 2.81-3.01, 3 Pt 2.84-2.89, 2 Tm 2.88
Pd (0.3361, 0.6639, 0.0000)  7 Pd 2.83-2.89, 2 Pt 2.83, 3 Tm 2.85-2.92
Pd (0.6639, 0.3361, 0.0000)  7 Pd 2.83-2.89, 2 Pt 2.83, 3 Tm 2.85-2.92
Pd (0.8269, 0.1731, 0.5000)  7 Pd 2.81-3.01, 3 Pt 2.84-2.89, 2 Tm 2.88
Pt (0.5000, 0.5000, 0.5000)  10 Pd 2.83-2.89, 2 Tm 2.88


(12)
Below is Ca2FeSb after structural relaxation, with properties calculated at the PBE level.

## Properties
- Uncorrected energy: -17.51 eV/cell
- SG: Amm2, No. 38
- ΔE_f (raw): -0.2311 eV/atom
- Calculated density: 3.9 g/cm3

Lattice parameters (Å, degrees): 4.3818 6.1407 6.1407 41.67 90.00 90.00
With the nearest neighbours (Å) after each atom.
Fractional coordinates of all 4 atoms:
Ca (0.0000, 0.0000, 0.0000)  4 Fe 3.22, 3 Sb 3.24-3.35
Ca (0.5000, 0.2898, 0.2898)  4 Sb 3.23, 3 Fe 3.26-3.32
Fe (0.5000, 0.5788, 0.5788)  2 Sb 2.65
Sb (0.0000, 0.7086, 0.7086)  2 Fe 2.65


(13)
Below is HgTeAu2 after structural relaxation, with properties calculated at the PBE level.

## Properties
- Uncorrected energy: -9.76 eV/cell
- SG: R-3m, No. 166
- ΔE_f (raw): 0.0583 eV/atom
- Calculated density: 12.5 g/cm3

Lattice parameters (Å, degrees): 6.6931 6.6931 6.6931 36.67 36.67 36.67
With the nearest neighbours (Å) after each atom.
Fractional coordinates of all 4 atoms:
Hg (0.0000, 0.0000, 0.0000)  6 Au 2.89
Te (0.5000, 0.5000, 0.5000)  6 Au 2.89
Au (0.2499, 0.2499, 0.2499)  3 Te 2.89, 3 Hg 2.89
Au (0.7501, 0.7501, 0.7501)  3 Te 2.89, 3 Hg 2.89


(14)
Below is RbTm2H after structural relaxation, with properties calculated at the PBE level.

## Properties
- Uncorrected energy: -12.71 eV/cell
- SG: R-3m, No. 166
- Calculated density: 6.2 g/cm3

Lattice parameters (Å, degrees): 10.3197 10.3197 10.3197 20.09 20.09 20.09
With the nearest neighbours (Å) after each atom.
Fractional coordinates of all 4 atoms:
Rb (0.0000, 0.0000, 0.0000)  6 Rb 3.60, 2 Tm 3.78
Tm (0.1245, 0.1245, 0.1245)  3 H 2.44
Tm (0.8755, 0.8755, 0.8755)  3 H 2.44
H (0.5000, 0.5000, 0.5000)  6 Tm 2.44


(15)
Below is NdCuGe2 after structural relaxation, with properties calculated at the PBE level.

## Properties
- Uncorrected energy: -40.86 eV/cell
- SG: P2_1/m, No. 11
- Formation energy from the elements: -0.58 eV/atom
- Calculated density: 7.4 g/cm3

Lattice parameters (Å, degrees): 4.2791 4.2729 8.8850 90.00 103.90 90.00
With the nearest neighbours (Å) after each atom.
Fractional coordinates of all 8 atoms:
Nd (0.1074, 0.2500, 0.2106)  10 Ge 3.22-3.30, 4 Cu 3.26
Nd (0.8926, 0.7500, 0.7894)  10 Ge 3.22-3.30, 4 Cu 3.26
Cu (0.3229, 0.2500, 0.6485)  5 Ge 2.37-2.49
Cu (0.6771, 0.7500, 0.3515)  5 Ge 2.37-2.49
Ge (0.2512, 0.7500, 0.4997)  4 Cu 2.49
Ge (0.4542, 0.2500, 0.9234)  1 Cu 2.37, 2 Ge 2.51
Ge (0.5458, 0.7500, 0.0766)  1 Cu 2.37, 2 Ge 2.51
Ge (0.7488, 0.2500, 0.5003)  4 Cu 2.49


(16)
Below is YHoTlGa after structural relaxation, with properties calculated at the PBE level.

## Properties
- Uncorrected energy: -18.19 eV/cell
- SG: F-43m, No. 216
- Formation energy from the elements: -0.44 eV/atom
- Calculated density: 8.7 g/cm3

Lattice parameters (Å, degrees): 5.2184 5.2184 5.2184 60.00 60.00 60.00
With the nearest neighbours (Å) after each atom.
Fractional coordinates of all 4 atoms:
Y (0.0000, 0.0000, 0.0000)  4 Ga 3.20, 4 Tl 3.20
Ho (0.5000, 0.5000, 0.5000)  4 Ga 3.20, 4 Tl 3.20
Tl (0.2500, 0.2500, 0.2500)  4 Ho 3.20, 4 Y 3.20
Ga (0.7500, 0.7500, 0.7500)  4 Ho 3.20, 4 Y 3.20


(17)
Below is RbZnAu4 after structural relaxation, with properties calculated at the PBE level.

## Properties
- Uncorrected energy: -15.49 eV/cell
- SG: F-43m, No. 216
- Formation energy from the elements: -0.02 eV/atom
- Calculated density: 11.7 g/cm3

Lattice parameters (Å, degrees): 5.7260 5.7260 5.7260 60.00 60.00 60.00
With the nearest neighbours (Å) after each atom.
Fractional coordinates of all 6 atoms:
Rb (0.0000, 0.0000, 0.0000)  12 Au 3.36, 4 Zn 3.51
Zn (0.2500, 0.2500, 0.2500)  12 Au 3.36, 4 Rb 3.51
Au (0.1267, 0.6244, 0.6244)  6 Au 2.85-2.88
Au (0.6244, 0.1267, 0.6244)  6 Au 2.85-2.88
Au (0.6244, 0.6244, 0.1267)  6 Au 2.85-2.88
Au (0.6244, 0.6244, 0.6244)  6 Au 2.85-2.88


(18)
Below is Ba2NdH6Ru after structural relaxation, with properties calculated at the PBE level.

## Properties
- Uncorrected energy: -41.95 eV/cell
- SG: P-3m1, No. 164
- Calculated density: 4.9 g/cm3

Lattice parameters (Å, degrees): 5.7504 5.7504 6.1651 90.00 90.00 120.00
With the nearest neighbours (Å) after each atom.
Fractional coordinates of all 10 atoms:
Ba (0.3333, 0.6667, 0.1684)  9 H 2.83-2.89
Ba (0.6667, 0.3333, 0.8316)  9 H 2.83-2.89
Nd (0.0000, 0.0000, 0.5000)  6 H 2.47
H (0.1409, 0.2817, 0.8304)  1 Ru 1.75
H (0.1409, 0.8591, 0.8304)  1 Ru 1.75
H (0.2817, 0.1409, 0.1696)  1 Ru 1.75
H (0.7183, 0.8591, 0.8304)  1 Ru 1.75
H (0.8591, 0.1409, 0.1696)  1 Ru 1.75
H (0.8591, 0.7183, 0.1696)  1 Ru 1.75
Ru (0.0000, 0.0000, 0.0000)  6 H 1.75


(19)
Below is LiCrIr2 after structural relaxation, with properties calculated at the PBE level.

## Properties
- Uncorrected energy: -29.65 eV/cell
- SG: Cm, No. 8
- Formation energy from the elements: -0.10 eV/atom
- Calculated density: 13.6 g/cm3

Lattice parameters (Å, degrees): 5.0022 5.0022 4.5693 113.86 113.86 31.55
With the nearest neighbours (Å) after each atom.
Fractional coordinates of all 4 atoms:
Li (0.0000, 0.0000, 0.0000)  7 Ir 2.56-2.71, 3 Cr 2.64-2.84, 2 Li 2.72
Cr (0.7685, 0.7685, 0.4243)  7 Ir 2.59-2.70, 3 Li 2.64-2.84, 2 Cr 2.72
Ir (0.2465, 0.2465, 0.9142)  3 Li 2.56-2.68, 4 Cr 2.63-2.70, 5 Ir 2.65-2.79
Ir (0.5096, 0.5096, 0.4949)  3 Cr 2.59-2.64, 4 Li 2.61-2.71, 5 Ir 2.65-2.79